A plane-wave DFT calculation with PBE was carried out for a geometry-optimized Ac4CoPtBr2 structure.

Lattice parameters (Å, degrees): 7.5825 4.3209 8.6197 90.00 107.18 90.00
Last column: nearest neighbours and their distance in Å.
Atoms (fractional coordinates):
Ac1 0.2198 0.0000 0.1912  2 Co 2.92, 1 Pt 3.05
Ac2 0.2574 0.5000 0.8057  1 Co 2.92, 2 Pt 3.01
Ac3 0.7426 0.5000 0.1943  1 Co 2.92, 2 Pt 3.01
Ac4 0.7802 0.0000 0.8088  2 Co 2.92, 1 Pt 3.05
Co1 0.0000 0.5000 0.0000  6 Ac 2.92
Pt1 0.5000 0.0000 0.0000  6 Ac 3.01-3.05
Br1 0.0000 0.0000 0.5000  6 Ac 3.52-3.53
Br2 0.5000 0.5000 0.5000  6 Ac 3.60-3.63

Results
ρ   8135 kg/m3
Calculated volume   269.8 Å³/cell
ΔE_f (raw)   -1053 meV per atom
Total moment   0.00 μB per cell
Space-group type   P2/m (10)
Raw total energy   -5.169 eV per atom

---

A plane-wave DFT calculation with PBE was carried out for a geometry-optimized Ac6CoPt2Br3 structure.

Lattice parameters (Å, degrees): 7.5966 7.5966 8.6062 98.41 98.41 120.07
Last column: nearest neighbours and their distance in Å.
Atoms (fractional coordinates):
Ac1 0.0644 0.3841 0.1937  1 Co 2.91, 2 Pt 3.03-3.04
Ac2 0.2554 0.2554 0.8063  1 Co 2.90, 2 Pt 3.04
Ac3 0.3841 0.0644 0.1937  1 Co 2.91, 2 Pt 3.03-3.04
Ac4 0.6159 0.9356 0.8063  1 Co 2.91, 2 Pt 3.03-3.04
Ac5 0.7446 0.7446 0.1937  1 Co 2.90, 2 Pt 3.04
Ac6 0.9356 0.6159 0.8063  1 Co 2.91, 2 Pt 3.03-3.04
Co1 0.0000 0.0000 0.0000  6 Ac 2.90-2.91
Pt1 0.3331 0.6669 0.0000  6 Ac 3.03-3.04
Pt2 0.6669 0.3331 0.0000  6 Ac 3.03-3.04
Br1 0.1621 0.8379 0.5000  6 Ac 3.50-3.69
Br2 0.5000 0.5000 0.5000  6 Ac 3.54-3.64
Br3 0.8379 0.1621 0.5000  6 Ac 3.50-3.69

Results
ρ   8286 kg/m3
Calculated volume   411.0 Å³/cell
ΔE_f (raw)   -1156 meV per atom
Total moment   0.00 μB per cell
Space-group type   C2/m (12)
Raw total energy   -5.228 eV per atom

---

A plane-wave DFT calculation with PBE was carried out for a geometry-optimized Ac6CoPt2Br2 structure.

Lattice parameters (Å, degrees): 7.6455 7.6455 8.3053 98.75 98.75 120.35
Last column: nearest neighbours and their distance in Å.
Atoms (fractional coordinates):
Ac1 0.0715 0.3861 0.2000  1 Co 2.89, 2 Pt 3.02-3.06
Ac2 0.2590 0.2590 0.7986  1 Co 2.95, 2 Pt 3.05
Ac3 0.3861 0.0715 0.2000  1 Co 2.89, 2 Pt 3.02-3.06
Ac4 0.6139 0.9285 0.8000  1 Co 2.89, 2 Pt 3.02-3.06
Ac5 0.7410 0.7410 0.2014  1 Co 2.95, 2 Pt 3.05
Ac6 0.9285 0.6139 0.8000  1 Co 2.89, 2 Pt 3.02-3.06
Co1 0.0000 0.0000 0.0000  6 Ac 2.89-2.95
Pt1 0.3312 0.6688 0.0000  6 Ac 3.02-3.06
Pt2 0.6688 0.3312 0.0000  6 Ac 3.02-3.06
Br1 0.1673 0.8327 0.5000  6 Ac 3.45-3.57
Br2 0.8327 0.1673 0.5000  6 Ac 3.45-3.57

Results
ρ   8205 kg/m3
Calculated volume   398.9 Å³/cell
ΔE_f (raw)   -968 meV per atom
Total moment   0.00 μB per cell
Space-group type   C2/m (12)
Raw total energy   -5.257 eV per atom